VASP calculation (PBE-GGA) on a geometry-optimized ScTcPt2 structure.

abc: 4.888 4.888 4.971
angles: 99.43 99.43 33.59
Element x y z (fractional)
Sc 0.000 0.000 0.000
Tc 0.248 0.248 0.692
Pt 0.504 0.504 0.512
Pt 0.750 0.750 0.218

Calculated values
- Crystal system: monoclinic
- E above lowest polymorph: 7.96 kJ/mol of atoms
- ρ: 13.67 g/cm³
- Formation enthalpy at 0 K: -2.21 eV per formula unit
- Volume: 16.19 Å³ per atom
- Electronic total energy: -31.0 eV/f.u.
- DOS at the Fermi energy: 2.2 states/eV per cell

=====

VASP calculation (PBE-GGA) on a geometry-optimized K3ReN3 structure.

abc: 8.260 8.260 5.841
angles: 90.00 90.00 120.00
Element x y z (fractional)
K 0.124 0.365 0.250
K 0.240 0.876 0.250
K 0.365 0.240 0.750
K 0.635 0.760 0.250
K 0.760 0.124 0.750
K 0.876 0.635 0.750
Re 0.333 0.667 0.750
Re 0.667 0.333 0.250
N 0.151 0.423 0.750
N 0.271 0.849 0.750
N 0.423 0.271 0.250
N 0.577 0.729 0.750
N 0.729 0.151 0.250
N 0.849 0.577 0.250

Calculated values
- Crystal system: hexagonal
- E above lowest polymorph: 24.13 kJ/mol of atoms
- ρ: 3.32 g/cm³
- Volume: 24.65 Å³ per atom
- Electronic total energy: -41.2 eV/f.u.
- Uncorrected formation energy: -0.08 eV/atom
- DOS at the Fermi energy: 9.3 states/eV per cell

=====

VASP calculation (PBE-GGA) on a geometry-optimized Y7BI12 structure.

abc: 9.648 9.648 9.648
angles: 107.78 107.78 107.78
Element x y z (fractional)
Y 0.000 0.000 0.000
Y 0.208 0.401 0.469
Y 0.401 0.469 0.208
Y 0.469 0.208 0.401
Y 0.531 0.792 0.599
Y 0.599 0.531 0.792
Y 0.792 0.599 0.531
B 0.500 0.500 0.500
I 0.032 0.347 0.112
I 0.112 0.032 0.347
I 0.186 0.726 0.577
I 0.274 0.423 0.814
I 0.347 0.112 0.032
I 0.423 0.814 0.274
I 0.577 0.186 0.726
I 0.653 0.888 0.968
I 0.726 0.577 0.186
I 0.814 0.274 0.423
I 0.888 0.968 0.653
I 0.968 0.653 0.888

Calculated values
- Crystal system: trigonal
- ρ: 4.90 g/cm³
- Volume: 36.57 Å³ per atom
- Electronic total energy: -94.9 eV/f.u.
- Uncorrected formation energy: -1.22 eV/atom
- DOS at the Fermi energy: 9.6 states/eV per cell